First-principles (GGA-PBE) data for an optimized crystal structure of ScCdInTe3, as listed in OQMD via LeMat-Bulk.

## Properties
Calculated total energy: -91.93 eV per cell
ΔE to the lowest computed polymorph: 0.052 eV/atom
Space-group type: Pnma (62)

Unit cell a=13.1164 b=4.3412 c=13.3090 alpha=90.00 beta=90.00 gamma=90.00
Closest atoms and distances in Å follow each position.
Atoms (fractional coordinates):
Te (0.1696, 0.0000, 0.9723)  1 Cd 2.90, 2 Sc 3.05
Sc (0.6672, 0.0000, 0.0362)  6 Te 2.88-3.14
Cd (0.6919, 0.5000, 0.7445)  4 Te 2.82-2.90
Te (0.0675, 0.0000, 0.5826)  1 Cd 2.82, 3 Sc 2.99-3.14
Te (0.1648, 0.5000, 0.2473)  2 Cd 2.87, 1 Sc 2.88
Cd (0.8081, 0.5000, 0.2445)  4 Te 2.82-2.90
Te (0.8352, 0.0000, 0.7527)  2 Cd 2.87, 1 Sc 2.88
Sc (0.8328, 0.0000, 0.5362)  6 Te 2.88-3.14
Sc (0.3328, 0.5000, 0.9638)  6 Te 2.88-3.14
Te (0.5675, 0.5000, 0.9174)  1 Cd 2.82, 3 Sc 2.99-3.14
Te (0.6648, 0.0000, 0.2527)  2 Cd 2.87, 1 Sc 2.88
Te (0.3304, 0.0000, 0.4723)  1 Cd 2.90, 2 Sc 3.05
Te (0.3352, 0.5000, 0.7473)  2 Cd 2.87, 1 Sc 2.88
In (0.5012, 0.5000, 0.3454)  5 Te 3.28-3.55, 2 Cd 3.54
Cd (0.3081, 0.0000, 0.2555)  4 Te 2.82-2.90
In (0.0012, 0.0000, 0.1546)  5 Te 3.28-3.55, 2 Cd 3.54
Te (0.6696, 0.5000, 0.5277)  1 Cd 2.90, 2 Sc 3.05
Te (0.9325, 0.5000, 0.4174)  1 Cd 2.82, 3 Sc 2.99-3.14
Sc (0.1672, 0.5000, 0.4638)  6 Te 2.88-3.14
Te (0.4325, 0.0000, 0.0826)  1 Cd 2.82, 3 Sc 2.99-3.14
In (0.9988, 0.5000, 0.8454)  5 Te 3.28-3.55, 2 Cd 3.54
In (0.4988, 0.0000, 0.6546)  5 Te 3.28-3.55, 2 Cd 3.54
Cd (0.1919, 0.0000, 0.7555)  4 Te 2.82-2.90
Te (0.8304, 0.5000, 0.0277)  1 Cd 2.90, 2 Sc 3.05